Here is crystalline CrPdBr6 at its relaxed geometry from the Alexandria database. Energies are from PBE.

The final energy is -3.547 eV/atom. The raw formation energy comes out at -0.440 eV per atom. As for the space group: C2/m, No. 12.

abc: 6.6814 7.0461 7.0461
angles: 118.24 103.88 103.88
Closest atoms and distances in Å follow each position.
Fractional positions:
Br 0.2565 0.8430 0.8430  1 Cr 2.46
Br 0.2396 0.4114 0.1262  1 Pd 2.47, 1 Cr 2.53
Br 0.7604 0.5886 0.8738  1 Pd 2.47, 1 Cr 2.53
Br 0.7435 0.1570 0.1570  1 Cr 2.46
Cr 0.0000 0.0000 0.0000  6 Br 2.46-2.53
Br 0.2396 0.1262 0.4114  1 Pd 2.47, 1 Cr 2.53
Pd 0.5000 0.5000 0.5000  4 Br 2.47
Br 0.7604 0.8738 0.5886  1 Pd 2.47, 1 Cr 2.53

Here is crystalline PmNd2Al at its relaxed geometry from the Alexandria database. Energies are from PBE.

The final energy is -4.674 eV/atom. As for the distance to the lowest polymorph of the same formula: 13 meV/atom. The value obtained for the formation energy is -167 meV per atom. As for the space group: P4/mmm, No. 123.

abc: 4.8924 4.8841 4.8841
angles: 90.00 90.00 90.00
Closest atoms and distances in Å follow each position.
Fractional positions:
Al 0.5000 0.0000 0.0000  4 Pm 3.45, 8 Nd 3.46
Pm 0.5000 0.5000 0.5000  4 Al 3.45, 8 Nd 3.46
Nd 0.0000 0.5000 0.0000  4 Nd 3.45, 4 Al 3.46, 4 Pm 3.46
Nd 0.0000 0.0000 0.5000  4 Nd 3.45, 4 Al 3.46, 4 Pm 3.46

Here is crystalline Tb5Pr6Ho2 at its relaxed geometry from the Alexandria database. Energies are from PBE.

The final energy is -4.590 eV/atom. The value obtained for the formation energy is 101 meV per atom. As for the space group: Pbam, No. 55.

abc: 3.6428 11.7699 20.8073
angles: 90.00 90.00 90.00
Closest atoms and distances in Å follow each position.
Fractional positions:
Tb 0.5000 0.0000 0.5000  6 Pr 3.45-3.49, 4 Tb 3.64-3.74
Tb 0.5000 0.3022 0.4439  6 Pr 3.53-3.74, 3 Tb 3.64-3.74, 2 Ho 3.70
Tb 0.5000 0.6978 0.5561  6 Pr 3.53-3.74, 3 Tb 3.64-3.74, 2 Ho 3.70
Pr 0.0000 0.4392 0.5806  6 Tb 3.57-3.74, 5 Pr 3.64-3.80, 1 Ho 3.80
Pr 0.0000 0.9392 0.9194  6 Tb 3.57-3.74, 5 Pr 3.64-3.80, 1 Ho 3.80
Pr 0.5000 0.3265 0.1360  2 Tb 3.35-3.49, 4 Pr 3.53-3.64, 2 Ho 3.68
Pr 0.5000 0.8265 0.3640  2 Tb 3.35-3.49, 4 Pr 3.53-3.64, 2 Ho 3.68
Tb 0.5000 0.9086 0.7730  5 Pr 3.35-3.57, 4 Ho 3.56-3.63, 2 Tb 3.64
Pr 0.0000 0.5834 0.1324  1 Ho 3.36, 6 Tb 3.45-3.53, 4 Pr 3.53-3.64
Pr 0.0000 0.0834 0.3676  1 Ho 3.36, 6 Tb 3.45-3.53, 4 Pr 3.53-3.64
Tb 0.5000 0.0914 0.2270  5 Pr 3.35-3.57, 4 Ho 3.56-3.63, 2 Tb 3.64
Tb 0.5000 0.8022 0.0561  6 Pr 3.53-3.74, 3 Tb 3.64-3.74, 2 Ho 3.70
Pr 0.5000 0.6735 0.8640  2 Tb 3.35-3.49, 4 Pr 3.53-3.64, 2 Ho 3.68
Pr 0.0000 0.5608 0.4194  6 Tb 3.57-3.74, 5 Pr 3.64-3.80, 1 Ho 3.80
Tb 0.5000 0.5000 0.0000  6 Pr 3.45-3.49, 4 Tb 3.64-3.74
Ho 0.0000 0.6665 0.7101  3 Pr 3.36-3.68, 6 Tb 3.56-3.70, 2 Ho 3.64
Pr 0.5000 0.1735 0.6360  2 Tb 3.35-3.49, 4 Pr 3.53-3.64, 2 Ho 3.68
Tb 0.5000 0.5914 0.2730  5 Pr 3.35-3.57, 4 Ho 3.56-3.63, 2 Tb 3.64
Ho 0.0000 0.8335 0.2101  3 Pr 3.36-3.68, 6 Tb 3.56-3.70, 2 Ho 3.64
Ho 0.0000 0.1665 0.7899  3 Pr 3.36-3.68, 6 Tb 3.56-3.70, 2 Ho 3.64
Pr 0.0000 0.0608 0.0806  6 Tb 3.57-3.74, 5 Pr 3.64-3.80, 1 Ho 3.80
Tb 0.5000 0.1978 0.9439  6 Pr 3.53-3.74, 3 Tb 3.64-3.74, 2 Ho 3.70
Tb 0.5000 0.4086 0.7270  5 Pr 3.35-3.57, 4 Ho 3.56-3.63, 2 Tb 3.64
Pr 0.0000 0.4166 0.8676  1 Ho 3.36, 6 Tb 3.45-3.53, 4 Pr 3.53-3.64
Ho 0.0000 0.3335 0.2899  3 Pr 3.36-3.68, 6 Tb 3.56-3.70, 2 Ho 3.64
Pr 0.0000 0.9166 0.6324  1 Ho 3.36, 6 Tb 3.45-3.53, 4 Pr 3.53-3.64

Which of these has the lowest final energy?
PmNd2Al

The highest final energy belongs to which entry?
CrPdBr6